# PBE PmEr2TmHg4, optimized geometry
data_PmEr2TmHg4
_cell_length_a 5.2515
_cell_length_b 5.2515
_cell_length_c 25.8714
_cell_angle_alpha 90.00
_cell_angle_beta 90.00
_cell_angle_gamma 120.00
_symmetry_space_group_name_H-M 'R -3 m'
_symmetry_Int_Tables_number 166
_symmetry_space_group_name_Hall '-R 3 2"'
loop_
_atom_site_label
_atom_site_type_symbol
_atom_site_fract_x
_atom_site_fract_y
_atom_site_fract_z
Pm1 Pm 0.0000 0.0000 0.0000
Er1 Er 0.0000 0.0000 0.2490
Tm1 Tm 0.0000 0.0000 0.5000
Hg1 Hg 0.0000 0.0000 0.1269
Hg2 Hg 0.0000 0.0000 0.3776
# Volume (Å³/atom): 25.7
# DFT formation energy (kJ/mol of formula units): -363
# E (eV/atom): -2.91
# ρ (kg/m3): 11697
# D(E_F) (states/eV per cell): 22.86

# PBE PmErTm2Hg4, optimized geometry
data_PmErTm2Hg4
_cell_length_a 5.2485
_cell_length_b 5.2485
_cell_length_c 25.8227
_cell_angle_alpha 90.00
_cell_angle_beta 90.00
_cell_angle_gamma 120.00
_symmetry_space_group_name_H-M 'R -3 m'
_symmetry_Int_Tables_number 166
_symmetry_space_group_name_Hall '-R 3 2"'
loop_
_atom_site_label
_atom_site_type_symbol
_atom_site_fract_x
_atom_site_fract_y
_atom_site_fract_z
Pm1 Pm 0.0000 0.0000 0.0000
Er1 Er 0.0000 0.0000 0.5000
Tm1 Tm 0.0000 0.0000 0.2491
Hg1 Hg 0.0000 0.0000 0.1268
Hg2 Hg 0.0000 0.0000 0.3773
# Volume (Å³/atom): 25.7
# DFT formation energy (kJ/mol of formula units): -363
# E (eV/atom): -2.90
# ρ (kg/m3): 11746
# D(E_F) (states/eV per cell): 22.39

# PBE PmErZnHg, optimized geometry
data_PmErZnHg
_cell_length_a 7.378
_cell_length_b 7.378
_cell_length_c 7.378
_cell_angle_alpha 90.00
_cell_angle_beta 90.00
_cell_angle_gamma 90.00
_symmetry_space_group_name_H-M 'F -4 3 m'
_symmetry_Int_Tables_number 216
_symmetry_space_group_name_Hall 'F -4 2 3'
loop_
_atom_site_label
_atom_site_type_symbol
_atom_site_fract_x
_atom_site_fract_y
_atom_site_fract_z
Pm1 Pm 0.000 0.000 0.000
Er1 Er 0.000 0.000 0.500
Zn1 Zn 0.250 0.250 0.750
Hg1 Hg 0.250 0.250 0.250
# E above lowest polymorph (eV/atom): 0.027
# Volume (Å³/atom): 25.1
# DFT formation energy (kJ/mol of formula units): -147
# E (eV/atom): -3.10
# ρ (kg/m3): 9565
# D(E_F) (states/eV per cell): 16.84

# PBE PmErZnHg, optimized geometry
data_PmErZnHg
_cell_length_a 3.625
_cell_length_b 3.625
_cell_length_c 7.542
_cell_angle_alpha 90.00
_cell_angle_beta 90.00
_cell_angle_gamma 90.00
_symmetry_space_group_name_H-M 'P 4 m m'
_symmetry_Int_Tables_number 99
_symmetry_space_group_name_Hall 'P 4 -2'
loop_
_atom_site_label
_atom_site_type_symbol
_atom_site_fract_x
_atom_site_fract_y
_atom_site_fract_z
Pm1 Pm 0.000 0.000 0.000
Er1 Er 0.000 0.000 0.467
Zn1 Zn 0.500 0.500 0.249
Hg1 Hg 0.500 0.500 0.715
# E above lowest polymorph (eV/atom): 0.000
# Volume (Å³/atom): 24.8
# DFT formation energy (kJ/mol of formula units): -157
# E (eV/atom): -3.13
# ρ (kg/m3): 9691
# D(E_F) (states/eV per cell): 3.83

# PBE Pr4ErHg, optimized geometry
data_Pr4ErHg
_cell_length_a 3.726
_cell_length_b 3.726
_cell_length_c 14.197
_cell_angle_alpha 90.00
_cell_angle_beta 90.00
_cell_angle_gamma 90.00
_symmetry_space_group_name_H-M 'P 4/m m m'
_symmetry_Int_Tables_number 123
_symmetry_space_group_name_Hall '-P 4 2'
loop_
_atom_site_label
_atom_site_type_symbol
_atom_site_fract_x
_atom_site_fract_y
_atom_site_fract_z
Pr1 Pr 0.000 0.000 0.145
Pr2 Pr 0.500 0.500 0.327
Er1 Er 0.000 0.000 0.500
Hg1 Hg 0.500 0.500 0.000
# E above lowest polymorph (eV/atom): 0.000
# Volume (Å³/atom): 32.9
# DFT formation energy (kJ/mol of formula units): -83
# E (eV/atom): -4.14
# ρ (kg/m3): 7847
# D(E_F) (states/eV per cell): 7.92

# PBE PrEr2Hg, optimized geometry
data_PrEr2Hg
_cell_length_a 4.857
_cell_length_b 4.857
_cell_length_c 4.819
_cell_angle_alpha 90.00
_cell_angle_beta 90.00
_cell_angle_gamma 90.00
_symmetry_space_group_name_H-M 'P 4/m m m'
_symmetry_Int_Tables_number 123
_symmetry_space_group_name_Hall '-P 4 2'
loop_
_atom_site_label
_atom_site_type_symbol
_atom_site_fract_x
_atom_site_fract_y
_atom_site_fract_z
Pr1 Pr 0.000 0.000 0.000
Er1 Er 0.000 0.500 0.500
Hg1 Hg 0.500 0.500 0.000
# E above lowest polymorph (eV/atom): 0.084
# Volume (Å³/atom): 28.4
# DFT formation energy (kJ/mol of formula units): -58
# E (eV/atom): -3.70
# ρ (kg/m3): 9873
# D(E_F) (states/eV per cell): 5.37

# PBE Pr3ErHg, optimized geometry
data_Pr3ErHg
_cell_length_a 11.607
_cell_length_b 7.660
_cell_length_c 8.176
_cell_angle_alpha 90.00
_cell_angle_beta 112.27
_cell_angle_gamma 90.00
_symmetry_space_group_name_H-M 'C 1 2/m 1'
_symmetry_Int_Tables_number 12
_symmetry_space_group_name_Hall '-C 2y'
loop_
_atom_site_label
_atom_site_type_symbol
_atom_site_fract_x
_atom_site_fract_y
_atom_site_fract_z
Pr1 Pr 0.047 0.000 0.232
Pr2 Pr 0.165 0.256 0.647
Er1 Er 0.059 0.500 0.241
Hg1 Hg 0.230 0.500 0.002
# E above lowest polymorph (eV/atom): 0.086
# Volume (Å³/atom): 33.6
# DFT formation energy (kJ/mol of formula units): -41
# E (eV/atom): -3.93
# ρ (kg/m3): 7806
# D(E_F) (states/eV per cell): 21.06

# PBE Pr2ErHg2, optimized geometry
data_Pr2ErHg2
_cell_length_a 3.778
_cell_length_b 5.357
_cell_length_c 14.382
_cell_angle_alpha 90.00
_cell_angle_beta 97.51
_cell_angle_gamma 90.00
_symmetry_space_group_name_H-M 'P 1 21/m 1'
_symmetry_Int_Tables_number 11
_symmetry_space_group_name_Hall '-P 2yb'
loop_
_atom_site_label
_atom_site_type_symbol
_atom_site_fract_x
_atom_site_fract_y
_atom_site_fract_z
Pr1 Pr 0.046 0.250 0.088
Pr2 Pr 0.232 0.250 0.467
Er1 Er 0.148 0.750 0.294
Hg1 Hg 0.360 0.750 0.720
Hg2 Hg 0.441 0.250 0.884
# E above lowest polymorph (eV/atom): 0.000
# Volume (Å³/atom): 28.9
# DFT formation energy (kJ/mol of formula units): -173
# E (eV/atom): -3.30
# ρ (kg/m3): 9786
# D(E_F) (states/eV per cell): 10.36

# PBE PrEr5Hg4, optimized geometry
data_PrEr5Hg4
_cell_length_a 3.671
_cell_length_b 3.671
_cell_length_c 19.935
_cell_angle_alpha 90.00
_cell_angle_beta 90.00
_cell_angle_gamma 90.00
_symmetry_space_group_name_H-M 'P 4/m m m'
_symmetry_Int_Tables_number 123
_symmetry_space_group_name_Hall '-P 4 2'
loop_
_atom_site_label
_atom_site_type_symbol
_atom_site_fract_x
_atom_site_fract_y
_atom_site_fract_z
Pr1 Pr 0.000 0.000 0.000
Er1 Er 0.500 0.500 0.127
Er2 Er 0.500 0.500 0.314
Er3 Er 0.500 0.500 0.500
Hg1 Hg 0.000 0.000 0.218
Hg2 Hg 0.000 0.000 0.405
# Volume (Å³/atom): 26.9
# DFT formation energy (kJ/mol of formula units): -368
# E (eV/atom): -3.26
# ρ (kg/m3): 10998
# D(E_F) (states/eV per cell): 9.45

# PBE Pr3Er2Hg2, optimized geometry
data_Pr3Er2Hg2
_cell_length_a 5.022
_cell_length_b 23.242
_cell_length_c 3.569
_cell_angle_alpha 90.00
_cell_angle_beta 90.00
_cell_angle_gamma 90.00
_symmetry_space_group_name_H-M 'C m m m'
_symmetry_Int_Tables_number 65
_symmetry_space_group_name_Hall '-C 2 2'
loop_
_atom_site_label
_atom_site_type_symbol
_atom_site_fract_x
_atom_site_fract_y
_atom_site_fract_z
Pr1 Pr 0.000 0.000 0.000
Pr2 Pr 0.000 0.145 0.000
Er1 Er 0.000 0.291 0.500
Hg1 Hg 0.000 0.429 0.500
# Volume (Å³/atom): 29.8
# DFT formation energy (kJ/mol of formula units): -81
# E (eV/atom): -3.56
# ρ (kg/m3): 9237
# D(E_F) (states/eV per cell): 17.61

# PBE Pr8Er2Hg, optimized geometry
data_Pr8Er2Hg
_cell_length_a 18.047
_cell_length_b 5.675
_cell_length_c 7.967
_cell_angle_alpha 90.00
_cell_angle_beta 111.86
_cell_angle_gamma 90.00
_symmetry_space_group_name_H-M 'C 1 2/m 1'
_symmetry_Int_Tables_number 12
_symmetry_space_group_name_Hall '-C 2y'
loop_
_atom_site_label
_atom_site_type_symbol
_atom_site_fract_x
_atom_site_fract_y
_atom_site_fract_z
Pr1 Pr 0.010 0.000 0.258
Pr2 Pr 0.114 0.500 0.928
Pr3 Pr 0.161 0.500 0.414
Pr4 Pr 0.180 0.000 0.721
Er1 Er 0.190 0.000 0.160
Hg1 Hg 0.000 0.500 0.500
# Volume (Å³/atom): 34.4
# DFT formation energy (kJ/mol of formula units): 7
# E (eV/atom): -4.33
# ρ (kg/m3): 7290
# D(E_F) (states/eV per cell): 31.51

# PBE PrErHg6, optimized geometry
data_PrErHg6
_cell_length_a 4.571
_cell_length_b 4.571
_cell_length_c 9.686
_cell_angle_alpha 90.00
_cell_angle_beta 90.00
_cell_angle_gamma 90.00
_symmetry_space_group_name_H-M 'P 4/m m m'
_symmetry_Int_Tables_number 123
_symmetry_space_group_name_Hall '-P 4 2'
loop_
_atom_site_label
_atom_site_type_symbol
_atom_site_fract_x
_atom_site_fract_y
_atom_site_fract_z
Pr1 Pr 0.000 0.000 0.000
Er1 Er 0.000 0.000 0.500
Hg1 Hg 0.000 0.500 0.257
Hg2 Hg 0.500 0.500 0.000
Hg3 Hg 0.500 0.500 0.500
# E above lowest polymorph (eV/atom): 0.031
# Volume (Å³/atom): 25.3
# DFT formation energy (kJ/mol of formula units): -247
# E (eV/atom): -1.71
# ρ (kg/m3): 12403
# D(E_F) (states/eV per cell): 5.90